(1)
# YMoN2 | the Alexandria database | PBE-GGA | optimized geometry
# * crystal system: cubic
# * uncorrected formation energy: -4.17 kcal/mol of atoms
# * DFT total energy: -34.67 eV/cell
# * space-group type: No. 225
data_YMoN2
_cell_length_a 4.013
_cell_length_b 4.013
_cell_length_c 4.013
_cell_angle_alpha 60.00
_cell_angle_beta 60.00
_cell_angle_gamma 60.00
_symmetry_space_group_name_H-M 'P 1'
_symmetry_Int_Tables_number 1
loop_
_symmetry_equiv_pos_as_xyz
'x,y,z'
loop_
_atom_site_label
_atom_site_fract_x
_atom_site_fract_y
_atom_site_fract_z
Mo1 0.500 0.500 0.500
N1 0.750 0.750 0.750
N2 0.250 0.250 0.250
Y1 0.000 0.000 0.000

(2)
# PmTiH2 | the Alexandria database | PBE-GGA | optimized geometry
# * crystal system: trigonal
# * DFT total energy: -20.10 eV/cell
# * space-group type: No. 166
data_PmTiH2
_cell_length_a 3.182
_cell_length_b 3.182
_cell_length_c 5.963
_cell_angle_alpha 74.53
_cell_angle_beta 74.53
_cell_angle_gamma 60.00
_symmetry_space_group_name_H-M 'P 1'
_symmetry_Int_Tables_number 1
loop_
_symmetry_equiv_pos_as_xyz
'x,y,z'
loop_
_atom_site_label
_atom_site_fract_x
_atom_site_fract_y
_atom_site_fract_z
H1 0.280 0.280 0.160
H2 0.720 0.720 0.840
Pm1 0.500 0.500 0.500
Ti1 0.000 0.000 0.000

(3)
# La4Nd2DyTm | the Alexandria database | PBE-GGA | optimized geometry
# * crystal system: monoclinic
# * DFT total energy: -38.20 eV/cell
# * space-group type: No. 10
# * energy relative to the elements: 0.02 eV/atom
data_La4Nd2DyTm
_cell_length_a 5.252
_cell_length_b 5.215
_cell_length_c 11.459
_cell_angle_alpha 62.88
_cell_angle_beta 90.00
_cell_angle_gamma 90.00
_symmetry_space_group_name_H-M 'P 1'
_symmetry_Int_Tables_number 1
loop_
_symmetry_equiv_pos_as_xyz
'x,y,z'
loop_
_atom_site_label
_atom_site_fract_x
_atom_site_fract_y
_atom_site_fract_z
Nd1 0.000 0.000 0.000
La1 0.500 0.750 0.250
Tm1 0.000 0.500 0.500
La2 0.500 0.250 0.750
La3 0.000 0.751 0.749
Dy1 0.500 0.500 0.000
La4 0.000 0.249 0.251
Nd2 0.500 0.000 0.500

(4)
# KHg8Pd4 | the Alexandria database | PBE-GGA | optimized geometry
# * crystal system: tetragonal
# * DFT total energy: -26.42 eV/cell
# * space-group type: No. 139
# * energy relative to the elements: -0.16 eV/atom
data_KHg8Pd4
_cell_length_a 5.855
_cell_length_b 7.527
_cell_length_c 7.527
_cell_angle_alpha 81.30
_cell_angle_beta 67.11
_cell_angle_gamma 67.11
_symmetry_space_group_name_H-M 'P 1'
_symmetry_Int_Tables_number 1
loop_
_symmetry_equiv_pos_as_xyz
'x,y,z'
loop_
_atom_site_label
_atom_site_fract_x
_atom_site_fract_y
_atom_site_fract_z
Hg1 0.000 0.330 0.670
Hg2 0.278 0.222 0.222
Pd1 0.500 0.500 0.000
Hg3 0.500 0.222 0.778
Hg4 0.500 0.778 0.222
Hg5 0.330 0.670 0.670
Pd2 0.000 0.500 0.000
Hg6 0.000 0.670 0.330
K1 0.000 0.000 0.000
Pd3 0.000 0.000 0.500
Pd4 0.500 0.000 0.500
Hg7 0.722 0.778 0.778
Hg8 0.670 0.330 0.330

(5)
# YGe2S4 | the Alexandria database | PBE-GGA | optimized geometry
# * crystal system: tetragonal
# * uncorrected formation energy: -12.21 kcal/mol of atoms
# * DFT total energy: -35.92 eV/cell
# * space-group type: No. 87
data_YGe2S4
_cell_length_a 6.168
_cell_length_b 6.168
_cell_length_c 6.168
_cell_angle_alpha 106.56
_cell_angle_beta 106.56
_cell_angle_gamma 115.47
_symmetry_space_group_name_H-M 'P 1'
_symmetry_Int_Tables_number 1
loop_
_symmetry_equiv_pos_as_xyz
'x,y,z'
loop_
_atom_site_label
_atom_site_fract_x
_atom_site_fract_y
_atom_site_fract_z
S1 0.816 0.319 0.136
Ge1 0.750 0.250 0.500
S2 0.319 0.184 0.503
Ge2 0.250 0.750 0.500
Y1 0.500 0.500 0.000
S3 0.681 0.816 0.497
S4 0.184 0.681 0.864

(6)
# Ti2H2Ru | the Alexandria database | PBE-GGA | optimized geometry
# * distance to the lowest polymorph of the same formula: 0.00 kcal/mol of atoms
# * crystal system: tetragonal
# * DFT total energy: -34.53 eV/cell
# * space-group type: No. 139
data_Ti2H2Ru
_cell_length_a 3.025
_cell_length_b 3.025
_cell_length_c 5.972
_cell_angle_alpha 75.33
_cell_angle_beta 75.33
_cell_angle_gamma 90.00
_symmetry_space_group_name_H-M 'P 1'
_symmetry_Int_Tables_number 1
loop_
_symmetry_equiv_pos_as_xyz
'x,y,z'
loop_
_atom_site_label
_atom_site_fract_x
_atom_site_fract_y
_atom_site_fract_z
Ti1 0.359 0.359 0.283
Ti2 0.641 0.641 0.717
H1 0.250 0.750 0.500
H2 0.750 0.250 0.500
Ru1 0.000 0.000 0.000

(7)
# TmBe4Os | the Alexandria database | PBE-GGA | optimized geometry
# * crystal system: cubic
# * DFT total energy: -31.81 eV/cell
# * space-group type: No. 216
# * energy relative to the elements: -0.20 eV/atom
data_TmBe4Os
_cell_length_a 4.637
_cell_length_b 4.637
_cell_length_c 4.637
_cell_angle_alpha 60.00
_cell_angle_beta 60.00
_cell_angle_gamma 60.00
_symmetry_space_group_name_H-M 'P 1'
_symmetry_Int_Tables_number 1
loop_
_symmetry_equiv_pos_as_xyz
'x,y,z'
loop_
_atom_site_label
_atom_site_fract_x
_atom_site_fract_y
_atom_site_fract_z
Be1 0.628 0.115 0.628
Tm1 0.250 0.250 0.250
Be2 0.115 0.628 0.628
Os1 0.000 0.000 0.000
Be3 0.628 0.628 0.628
Be4 0.628 0.628 0.115

(8)
# TaZn2 | the Alexandria database | PBE-GGA | optimized geometry
# * crystal system: tetragonal
# * DFT total energy: -13.27 eV/cell
# * space-group type: No. 123
# * energy relative to the elements: 0.38 eV/atom
data_TaZn2
_cell_length_a 4.930
_cell_length_b 4.930
_cell_length_c 2.592
_cell_angle_alpha 90.00
_cell_angle_beta 90.00
_cell_angle_gamma 90.00
_symmetry_space_group_name_H-M 'P 1'
_symmetry_Int_Tables_number 1
loop_
_symmetry_equiv_pos_as_xyz
'x,y,z'
loop_
_atom_site_label
_atom_site_fract_x
_atom_site_fract_y
_atom_site_fract_z
Ta1 0.000 0.000 0.000
Zn1 0.000 0.500 0.500
Zn2 0.500 0.000 0.500

(9)
# Mn3HOs | the Alexandria database | PBE-GGA | optimized geometry
# * distance to the lowest polymorph of the same formula: 1.26 kcal/mol of atoms
# * crystal system: triclinic
# * DFT total energy: -84.04 eV/cell
# * space-group type: No. 1
data_Mn3HOs
_cell_length_a 4.163
_cell_length_b 5.245
_cell_length_c 4.528
_cell_angle_alpha 90.04
_cell_angle_beta 89.66
_cell_angle_gamma 89.62
_symmetry_space_group_name_H-M 'P 1'
_symmetry_Int_Tables_number 1
loop_
_symmetry_equiv_pos_as_xyz
'x,y,z'
loop_
_atom_site_label
_atom_site_fract_x
_atom_site_fract_y
_atom_site_fract_z
Os1 0.174 0.276 0.946
H1 0.903 0.023 0.764
Os2 0.676 0.544 0.115
Mn1 0.671 0.280 0.590
H2 0.421 0.550 0.748
Mn2 0.178 0.027 0.436
Mn3 0.669 0.790 0.593
Mn4 0.667 0.029 0.115
Mn5 0.170 0.789 0.944
Mn6 0.164 0.539 0.439

(10)
# SrZn4Au | the Alexandria database | PBE-GGA | optimized geometry
# * distance to the lowest polymorph of the same formula: 1.50 kcal/mol of atoms
# * crystal system: cubic
# * DFT total energy: -11.07 eV/cell
# * space-group type: No. 216
# * energy relative to the elements: -0.17 eV/atom
data_SrZn4Au
_cell_length_a 5.439
_cell_length_b 5.439
_cell_length_c 5.439
_cell_angle_alpha 60.00
_cell_angle_beta 60.00
_cell_angle_gamma 60.00
_symmetry_space_group_name_H-M 'P 1'
_symmetry_Int_Tables_number 1
loop_
_symmetry_equiv_pos_as_xyz
'x,y,z'
loop_
_atom_site_label
_atom_site_fract_x
_atom_site_fract_y
_atom_site_fract_z
Zn1 0.376 0.871 0.376
Sr1 0.000 0.000 0.000
Zn2 0.871 0.376 0.376
Zn3 0.376 0.376 0.376
Au1 0.750 0.750 0.750
Zn4 0.376 0.376 0.871

(11)
# Pd7Pt5 | the Alexandria database | PBE-GGA | optimized geometry
# * distance to the lowest polymorph of the same formula: 0.62 kcal/mol of atoms
# * crystal system: monoclinic
# * DFT total energy: -66.45 eV/cell
# * space-group type: No. 12
# * energy relative to the elements: 0.01 eV/atom
data_Pd7Pt5
_cell_length_a 4.738
_cell_length_b 4.804
_cell_length_c 9.865
_cell_angle_alpha 104.15
_cell_angle_beta 90.00
_cell_angle_gamma 119.55
_symmetry_space_group_name_H-M 'P 1'
_symmetry_Int_Tables_number 1
loop_
_symmetry_equiv_pos_as_xyz
'x,y,z'
loop_
_atom_site_label
_atom_site_fract_x
_atom_site_fract_y
_atom_site_fract_z
Pd1 0.915 0.830 0.251
Pd2 0.333 0.667 0.001
Pd3 0.417 0.834 0.750
Pt1 0.755 0.510 0.753
Pt2 0.832 0.665 0.502
Pd4 0.085 0.170 0.749
Pt3 0.000 0.000 0.000
Pd5 0.500 0.000 0.500
Pt4 0.168 0.335 0.498
Pd6 0.667 0.333 0.999
Pd7 0.583 0.166 0.250
Pt5 0.245 0.490 0.247

(12)
# CdFeS2Cl | the Alexandria database | PBE-GGA | optimized geometry
# * distance to the lowest polymorph of the same formula: 17.01 kcal/mol of atoms
# * crystal system: tetragonal
# * uncorrected formation energy: 16.19 kcal/mol of atoms
# * DFT total energy: -15.97 eV/cell
# * space-group type: No. 123
data_CdFeS2Cl
_cell_length_a 4.970
_cell_length_b 4.970
_cell_length_c 5.069
_cell_angle_alpha 90.00
_cell_angle_beta 90.00
_cell_angle_gamma 90.00
_symmetry_space_group_name_H-M 'P 1'
_symmetry_Int_Tables_number 1
loop_
_symmetry_equiv_pos_as_xyz
'x,y,z'
loop_
_atom_site_label
_atom_site_fract_x
_atom_site_fract_y
_atom_site_fract_z
S1 0.500 0.000 0.000
S2 0.000 0.500 0.000
Cl1 0.000 0.000 0.500
Cd1 0.000 0.000 0.000
Fe1 0.500 0.500 0.500